(1)
VASP calculation (PBE) on Tb2EuEr after structural relaxation.

Cell lengths 5.7357, 5.7357, 5.7357 Å; angles 60.00, 60.00, 60.00 degrees
Last column: magnetic moment on the atom in μB.
Element x y z (fractional)
1 Eu 0.0000 0.0000 0.0000  -6.89
2 Tb 0.2500 0.2500 0.2500  -0.23
3 Tb 0.7500 0.7500 0.7500  -0.23
4 Er 0.5000 0.5000 0.5000  -0.25

As for the symmetry: Fm-3m. The energy above the most stable polymorph in this dataset is 109 meV per atom. The total magnetization comes out at 8.23 μB/cell. For the volume, the calculation gives 33.36 A^3/atom. The density of states at the Fermi level comes out at 7.17 states/eV per cell.

=====

(2)
VASP calculation (PBE) on SrMgH2 after structural relaxation.

Cell lengths 4.9975, 4.9975, 6.7674 Å; angles 68.33, 68.33, 90.00 degrees
Last column: magnetic moment on the atom in μB.
Element x y z (fractional)
1 Sr 0.0000 0.0000 0.0000  0.17
2 Sr 0.7500 0.2500 0.5000  0.17
3 Mg 0.5000 0.5000 0.0000  0.04
4 Mg 0.2500 0.7500 0.5000  0.04
5 H 0.5446 0.1250 0.2500  0.00
6 H 0.2054 0.6250 0.2500  0.00
7 H 0.3750 0.4554 0.7500  0.01
8 H 0.8750 0.7946 0.7500  0.01

As for the symmetry: I-42d. The energy above the most stable polymorph in this dataset is 0 meV per atom. The total magnetization comes out at 2.24 μB/cell. For the volume, the calculation gives 18.02 A^3/atom. The density of states at the Fermi level comes out at 3.76 states/eV per cell.

=====

(3)
VASP calculation (PBE) on GaGe after structural relaxation.

Cell lengths 9.9508, 9.9509, 4.1593 Å; angles 90.00, 90.00, 120.00 degrees
Element x y z (fractional)
1 Ga 0.6911 0.1117 0.2500
2 Ga 0.5794 0.6911 0.7500
3 Ga 0.8883 0.5794 0.2500
4 Ga 0.3089 0.8883 0.7500
5 Ga 0.4206 0.3089 0.2500
6 Ga 0.1117 0.4206 0.7500
7 Ge 0.9513 0.3502 0.2500
8 Ge 0.6011 0.9513 0.7500
9 Ge 0.6498 0.6011 0.2500
10 Ge 0.0487 0.6498 0.7500
11 Ge 0.3989 0.0487 0.2500
12 Ge 0.3502 0.3989 0.7500

As for the symmetry: P6_3/m. The energy above the most stable polymorph in this dataset is 109 meV per atom. The total magnetization comes out at 0.00 μB/cell. For the volume, the calculation gives 29.72 A^3/atom. The density of states at the Fermi level comes out at 6.11 states/eV per cell.

=====

(4)
VASP calculation (PBE) on ErMg5Tl6 after structural relaxation.

Cell lengths 5.1666, 7.3260, 8.3306 Å; angles 90.00, 71.93, 90.00 degrees
Element x y z (fractional)
1 Mg 0.6736 0.5000 0.6528
2 Mg 0.3371 0.0000 0.3258
3 Mg 0.0000 0.5000 0.0000
4 Mg 0.6629 0.0000 0.6742
5 Mg 0.3264 0.5000 0.3472
6 Tl 0.8327 0.7488 0.3346
7 Tl 0.8327 0.2512 0.3346
8 Tl 0.5000 0.2668 0.0000
9 Tl 0.5000 0.7332 0.0000
10 Tl 0.1673 0.7488 0.6654
11 Tl 0.1673 0.2512 0.6654
12 Er 0.0000 0.0000 0.0000

As for the symmetry: Cmmm. The total magnetization comes out at 0.00 μB/cell. For the volume, the calculation gives 24.98 A^3/atom. The density of states at the Fermi level comes out at 5.47 states/eV per cell. As for the total energy: -27.87 eV per cell.

=====

(5)
VASP calculation (PBE) on KScCd2 after structural relaxation.

Cell lengths 3.4525, 3.4525, 9.8721 Å; angles 90.00, 90.00, 90.00 degrees
Last column: magnetic moment on the atom in μB.
Element x y z (fractional)
1 Cd 0.0000 0.0000 0.0026  0.00
2 Cd 0.5000 0.5000 0.1992  0.00
3 K 0.0000 0.0000 0.4766  0.00
4 Sc 0.5000 0.5000 0.8216  0.18

As for the symmetry: P4mm. The energy above the most stable polymorph in this dataset is 186 meV per atom. The total magnetization comes out at 0.26 μB/cell. For the volume, the calculation gives 29.42 A^3/atom. The density of states at the Fermi level comes out at 4.31 states/eV per cell.

=====

(6)
VASP calculation (PBE) on Ba6Ag2AsI3 after structural relaxation.

Cell lengths 8.4209, 8.4209, 9.0643 Å; angles 98.92, 98.92, 120.05 degrees
Last column: magnetic moment on the atom in μB.
Element x y z (fractional)
1 Ba 0.9290 0.6087 0.7873  0.06
2 Ba 0.7516 0.7516 0.2147  0.06
3 Ba 0.0710 0.3913 0.2127  0.06
4 Ba 0.6087 0.9290 0.7873  0.06
5 Ba 0.2484 0.2484 0.7853  0.06
6 Ba 0.3913 0.0710 0.2127  0.06
7 Ag 0.3337 0.6663 0.0000  0.02
8 Ag 0.6663 0.3337 0.0000  0.02
9 As 0.0000 0.0000 0.0000  0.01
10 I 0.1670 0.8330 0.5000  0.01
11 I 0.8330 0.1670 0.5000  0.01
12 I 0.5000 0.5000 0.5000  0.01

As for the symmetry: C2/m. The total magnetization comes out at 1.75 μB/cell. For the formation energy (no corrections), the calculation gives -978 meV/atom. For the volume, the calculation gives 44.07 A^3/atom. The density of states at the Fermi level comes out at 10.13 states/eV per cell.

=====

(7)
VASP calculation (PBE) on BeAgN after structural relaxation.

Cell lengths 8.6270, 2.9351, 2.9647 Å; angles 59.67, 90.01, 78.93 degrees
Element x y z (fractional)
1 Be 0.7592 0.3518 0.5669
2 Be 0.5723 0.8100 0.8371
3 Ag 0.0261 0.8612 0.4538
4 Ag 0.3054 0.3001 0.2340
5 N 0.7940 0.6505 0.9089
6 N 0.5376 0.5112 0.4778

As for the symmetry: C2. The total magnetization comes out at 0.00 μB/cell. For the formation energy (no corrections), the calculation gives -187 meV/atom. For the volume, the calculation gives 10.53 A^3/atom. The density of states at the Fermi level comes out at 1.68 states/eV per cell.

=====

(8)
VASP calculation (PBE) on LiBeCu3 after structural relaxation.

Cell lengths 4.0788, 4.0788, 4.0788 Å; angles 90.00, 90.00, 90.00 degrees
Element x y z (fractional)
1 Be 0.0000 0.0000 0.0000
2 Cu 0.0000 0.5000 0.0000
3 Cu 0.0000 0.0000 0.5000
4 Cu 0.5000 0.0000 0.0000
5 Li 0.5000 0.5000 0.5000

As for the symmetry: Pm-3m. The energy above the most stable polymorph in this dataset is 299 meV per atom. The total magnetization comes out at 0.00 μB/cell. For the volume, the calculation gives 13.57 A^3/atom. The density of states at the Fermi level comes out at 1.65 states/eV per cell.

=====

(9)
VASP calculation (PBE) on Al2NiAu after structural relaxation.

Cell lengths 4.4361, 4.4361, 4.9152 Å; angles 78.80, 78.80, 38.39 degrees
Element x y z (fractional)
1 Ni 0.7500 0.7500 0.7500
2 Au 0.2500 0.2500 0.2500
3 Al 0.0087 0.0087 0.9772
4 Al 0.4913 0.4913 0.5228

As for the symmetry: C2/m. The total magnetization comes out at 0.00 μB/cell. For the volume, the calculation gives 14.69 A^3/atom. The density of states at the Fermi level comes out at 1.98 states/eV per cell. As for the total energy: -17.84 eV per cell.

=====

(10)
VASP calculation (PBE) on MgTiTeAu2 after structural relaxation.

Cell lengths 5.0885, 5.1545, 5.0885 Å; angles 90.00, 90.00, 90.00 degrees
Last column: magnetic moment on the atom in μB.
Element x y z (fractional)
1 Mg 0.5000 0.5000 0.5000  0.00
2 Te 0.0000 0.5000 0.0000  -0.03
3 Au 0.0000 0.0000 0.5000  0.00
4 Au 0.5000 0.0000 0.0000  0.03
5 Ti 0.0000 0.0000 0.0000  0.44

As for the symmetry: P4/mmm. The total magnetization comes out at 0.49 μB/cell. For the formation energy (no corrections), the calculation gives 159 meV/atom. For the volume, the calculation gives 26.69 A^3/atom. The density of states at the Fermi level comes out at 3.56 states/eV per cell.

=====

(11)
VASP calculation (PBE) on LiI2N2 after structural relaxation.

Cell lengths 5.4221, 5.4221, 3.7042 Å; angles 90.00, 90.00, 90.00 degrees
Last column: magnetic moment on the atom in μB.
Element x y z (fractional)
1 I 0.0000 0.5000 0.0000  -0.07
2 I 0.5000 0.0000 0.0000  -0.07
3 Li 0.0000 0.0000 0.0000  -0.01
4 N 0.5000 0.5000 0.5000  1.73
5 N 0.0000 0.0000 0.5000  -0.06

As for the symmetry: P4/mmm. The energy above the most stable polymorph in this dataset is 2200 meV per atom. The total magnetization comes out at 2.27 μB/cell. For the formation energy (no corrections), the calculation gives 1841 meV/atom. For the volume, the calculation gives 21.78 A^3/atom. The density of states at the Fermi level comes out at 5.80 states/eV per cell.

=====

(12)
VASP calculation (PBE) on NpZn3Ga2 after structural relaxation.

Cell lengths 4.3252, 8.3142, 7.0290 Å; angles 116.13, 90.00, 105.08 degrees
Last column: magnetic moment on the atom in μB.
Element x y z (fractional)
1 Np 0.8744 0.7489 0.9412  3.91
2 Np 0.1256 0.2511 0.0588  3.91
3 Zn 0.3061 0.6122 0.5318  0.01
4 Zn 0.9399 0.8799 0.5766  0.00
5 Zn 0.6344 0.2688 0.7586  0.00
6 Zn 0.3656 0.7312 0.2414  0.00
7 Zn 0.0601 0.1201 0.4234  0.00
8 Zn 0.6939 0.3878 0.4682  0.01
9 Ga 0.4832 0.9664 0.8035  -0.01
10 Ga 0.5168 0.0336 0.1965  -0.01
11 Ga 0.7733 0.5466 0.2279  -0.01
12 Ga 0.2267 0.4534 0.7721  -0.01

As for the symmetry: C2/m. The energy above the most stable polymorph in this dataset is 0 meV per atom. The total magnetization comes out at 8.43 μB/cell. For the volume, the calculation gives 18.10 A^3/atom. The density of states at the Fermi level comes out at 18.34 states/eV per cell.